w:
! Cu7Ag2 (PBE, optimized geometry); values from VASP
&SYSTEM
  ibrav = 0, nat = 9, ntyp = 2
/
ATOMIC_SPECIES
Cu 63.55 Cu.upf
Ag 107.87 Ag.upf
CELL_PARAMETERS angstrom
5.650 -1.338 0.000
5.650 1.338 0.000
-1.956 0.000 7.862
ATOMIC_POSITIONS angstrom
Cu 0.000 0.000 0.000
Cu -0.598 0.000 2.748
Cu 2.846 0.000 3.514
Cu 2.361 0.000 6.057
Cu 6.982 0.000 1.804
Cu 6.497 0.000 4.348
Cu 9.942 0.000 5.114
Ag 3.577 0.000 0.977
Ag 5.767 0.000 6.885
! Crystal system: monoclinic
! V in A^3/atom: 13.20

***

x:
! Cu7Ag2 (PBE, optimized geometry); values from VASP
&SYSTEM
  ibrav = 0, nat = 9, ntyp = 2
/
ATOMIC_SPECIES
Cu 63.55 Cu.upf
Ag 107.87 Ag.upf
CELL_PARAMETERS angstrom
5.559 -1.344 0.000
5.559 1.344 0.000
-2.010 0.000 7.944
ATOMIC_POSITIONS angstrom
Cu 0.000 0.000 0.000
Cu 2.687 0.000 3.448
Cu 2.047 0.000 6.277
Cu 3.480 0.000 0.805
Cu 5.627 0.000 7.139
Cu 7.060 0.000 1.668
Cu 6.420 0.000 4.497
Ag -0.625 0.000 2.624
Ag 9.732 0.000 5.320
! Crystal system: monoclinic
! V in A^3/atom: 13.19

***

y:
! Cu7Ag2 (PBE, optimized geometry); values from VASP
&SYSTEM
  ibrav = 0, nat = 9, ntyp = 2
/
ATOMIC_SPECIES
Cu 63.55 Cu.upf
Ag 107.87 Ag.upf
CELL_PARAMETERS angstrom
-1.357 1.727 12.650
1.357 -1.727 12.650
1.357 1.727 -12.650
ATOMIC_POSITIONS angstrom
Cu 0.000 0.000 0.000
Cu 0.000 0.000 2.567
Cu 0.000 0.000 8.829
Cu 0.000 0.000 11.371
Cu 0.000 0.000 13.928
Cu 0.000 0.000 16.470
Cu 0.000 0.000 22.732
Ag 0.000 0.000 5.386
Ag 0.000 0.000 19.913
! Crystal system: orthorhombic
! V in A^3/atom: 13.17

***

z:
! Cu7Ag2 (PBE, optimized geometry); values from VASP
&SYSTEM
  ibrav = 0, nat = 9, ntyp = 2
/
ATOMIC_SPECIES
Cu 63.55 Cu.upf
Ag 107.87 Ag.upf
CELL_PARAMETERS angstrom
2.685 0.000 0.000
-1.343 2.326 0.000
0.000 0.000 19.133
ATOMIC_POSITIONS angstrom
Cu 0.000 0.000 0.000
Cu 0.000 0.000 6.545
Cu 0.000 0.000 12.588
Cu 0.000 1.550 10.578
Cu 0.000 1.550 17.145
Cu 1.343 0.775 1.988
Cu 1.343 0.775 8.555
Ag 0.000 1.550 4.259
Ag 1.343 0.775 14.874
! Crystal system: trigonal
! V in A^3/atom: 13.28

***

Among the structures shown above, y is the most stable, with the second-best lying 0.019 eV/atom higher.